Entry from the Alexandria database: an optimized crystal structure of AcMgZn2Pt2 (PBE-GGA).

a b c (Å): 4.467 4.467 7.105
angles (deg): 90.00 90.00 120.00
Element x y z (fractional)
Ac  0.000  0.000  0.000
Mg  0.000  0.000  0.500
Zn  0.667  0.333  0.675
Zn  0.333  0.667  0.325
Pt  0.667  0.333  0.293
Pt  0.333  0.667  0.707

Output
Formation energy from the elements ... -4.8 eV per formula unit

***

Entry from the Alexandria database: an optimized crystal structure of Hf7Zr3 (PBE-GGA).

a b c (Å): 4.880 6.239 8.396
angles (deg): 111.75 106.89 90.00
Element x y z (fractional)
Hf  0.000  0.500  0.000
Hf  0.201  0.201  0.401
Hf  0.799  0.799  0.599
Hf  0.396  0.145  0.791
Hf  0.604  0.855  0.209
Hf  0.396  0.645  0.791
Hf  0.604  0.355  0.209
Zr  0.000  0.000  0.000
Zr  0.200  0.701  0.401
Zr  0.800  0.299  0.599

Output
E above lowest polymorph ... 0.0000 eV/atom
Formation energy from the elements ... 0.5 eV per formula unit

***

Entry from the Alexandria database: an optimized crystal structure of GdErMnPd (PBE-GGA).

a b c (Å): 4.982 4.982 4.982
angles (deg): 60.00 60.00 60.00
Each line ends with the local moment (μB).
Element x y z (fractional)
Mn  0.250  0.250  0.250  -3.42
Gd  0.000  0.000  0.000  7.17
Pd  0.750  0.750  0.750  -0.06
Er  0.500  0.500  0.500  0.18

Output
Formation energy from the elements ... -1.1 eV per formula unit

***

Entry from the Alexandria database: an optimized crystal structure of Cs2DyNp2S7 (PBE-GGA).

a b c (Å): 5.142 5.142 14.207
angles (deg): 79.55 79.55 90.02
Each line ends with the local moment (μB).
Element x y z (fractional)
Cs  0.812  0.812  0.374  0.00
Cs  0.188  0.188  0.626  0.00
Dy  0.000  0.000  0.000  0.03
Np  0.590  0.590  0.820  2.87
Np  0.410  0.410  0.180  2.87
S  0.500  0.500  0.000  -0.19
S  0.319  0.319  0.362  -0.10
S  0.681  0.681  0.638  -0.10
S  0.933  0.433  0.133  -0.09
S  0.433  0.933  0.133  -0.09
S  0.567  0.067  0.867  -0.09
S  0.067  0.567  0.867  -0.09

Output
Uncorrected formation energy ... -1.242 eV/atom

***

Entry from the Alexandria database: an optimized crystal structure of Ho4TlH (PBE-GGA).

a b c (Å): 5.093 6.697 8.780
angles (deg): 90.00 106.88 90.00
Element x y z (fractional)
Ho  0.891  0.281  0.783
Ho  0.109  0.781  0.217
Ho  0.500  0.031  0.000
Ho  0.500  0.531  0.000
Ho  0.696  0.523  0.392
Ho  0.304  0.023  0.608
Ho  0.696  0.038  0.392
Ho  0.304  0.538  0.608
Tl  0.899  0.781  0.799
Tl  0.101  0.281  0.201
H  0.596  0.781  0.192
H  0.404  0.281  0.808

***

Entry from the Alexandria database: an optimized crystal structure of ScCdSb2 (PBE-GGA).

a b c (Å): 4.915 4.915 3.982
angles (deg): 90.00 90.00 90.00
Element x y z (fractional)
Cd  0.000  0.500  0.500
Sb  0.000  0.000  0.000
Sb  0.500  0.500  0.000
Sc  0.500  0.000  0.500

Output
Uncorrected formation energy ... -0.318 eV/atom

***

| no. | total energy (eV per cell) |
| --- | --- |
| 1 | -25.1 |
| 2 | -94.9 |
| 3 | -34.1 |
| 4 | -76.0 |
| 5 | -50.0 |
| 6 | -16.8 |